(1)
! SnOsPt3 (GGA-PBE, optimized geometry); values from VASP
! E_tot, eV per formula unit: -28.44
! DFT formation energy, meV/atom: 983
! Excess energy over the best structure of this formula in the dataset, meV per atom: 0
! Magnetic moment, μB/cell: 0.0
! Fermi-level density of states, states/eV/atom: 1.05
! ρ, g cm⁻³: 12.9
&SYSTEM
  ibrav = 0, nat = 5, ntyp = 3
/
ATOMIC_SPECIES
Sn 118.71 Sn.upf
Os 190.23 Os.upf
Pt 195.08 Pt.upf
ATOMIC_POSITIONS crystal
Sn 0.000 0.000 0.000
Os 0.500 0.500 0.500
Pt 0.000 0.500 0.500
Pt 0.500 0.000 0.500
Pt 0.500 0.500 0.000
CELL_PARAMETERS angstrom
4.865 0.000 0.000
0.000 4.865 0.000
0.000 0.000 4.865

(2)
! P2CF (GGA-PBE, optimized geometry); values from VASP
! E_tot, eV per formula unit: -20.05
! Formation energy (no corrections), eV per formula unit: 1.86
! Excess energy over the best structure of this formula in the dataset, meV per atom: 0
! Magnetic moment, μB/cell: 0.0
! Fermi-level density of states, states/eV/atom: 0.46
! ρ, g cm⁻³: 2.7
&SYSTEM
  ibrav = 0, nat = 8, ntyp = 3
/
ATOMIC_SPECIES
P 30.97 P.upf
C 12.01 C.upf
F 19.00 F.upf
ATOMIC_POSITIONS crystal
P 0.052 0.625 0.927
P 0.375 0.302 0.427
P 0.698 0.125 0.073
P 0.875 0.948 0.573
C 0.000 0.000 0.000
C 0.750 0.250 0.500
F 0.250 0.750 0.500
F 0.500 0.500 0.000
CELL_PARAMETERS angstrom
-2.675 2.675 3.984
2.675 -2.675 3.984
2.675 2.675 -3.984

(3)
! La11Sm9Tm4 (GGA-PBE, optimized geometry); values from VASP
! E_tot, eV per formula unit: -113.01
! DFT formation energy, meV/atom: 64
! Magnetic moment, μB/cell: 0.0
! Fermi-level density of states, states/eV/atom: 1.53
! ρ, g cm⁻³: 7.0
&SYSTEM
  ibrav = 0, nat = 24, ntyp = 3
/
ATOMIC_SPECIES
La 138.91 La.upf
Sm 150.36 Sm.upf
Tm 168.93 Tm.upf
ATOMIC_POSITIONS crystal
La 0.000 0.000 0.000
La 0.043 0.404 0.000
La 0.161 0.839 0.000
La 0.293 0.293 0.000
La 0.369 0.631 0.000
La 0.404 0.043 0.000
La 0.596 0.957 0.000
La 0.631 0.369 0.000
La 0.707 0.707 0.000
La 0.839 0.161 0.000
La 0.957 0.596 0.000
Sm 0.068 0.215 0.500
Sm 0.166 0.629 0.500
Sm 0.215 0.068 0.500
Sm 0.371 0.834 0.500
Sm 0.500 0.500 0.500
Sm 0.629 0.166 0.500
Sm 0.785 0.932 0.500
Sm 0.834 0.371 0.500
Sm 0.932 0.785 0.500
Tm 0.240 0.444 0.500
Tm 0.444 0.240 0.500
Tm 0.556 0.760 0.500
Tm 0.760 0.556 0.500
CELL_PARAMETERS angstrom
8.670 -13.145 0.000
8.670 13.145 0.000
0.000 0.000 3.705

(4)
! Pm3NdSi3 (GGA-PBE, optimized geometry); values from VASP
! E_tot, eV per formula unit: -38.70
! Formation energy (no corrections), eV per formula unit: -3.42
! Magnetic moment, μB/cell: 0.0
! Fermi-level density of states, states/eV/atom: 0.38
! ρ, g cm⁻³: 6.0
&SYSTEM
  ibrav = 0, nat = 7, ntyp = 3
/
ATOMIC_SPECIES
Pm 145.00 Pm.upf
Nd 144.24 Nd.upf
Si 28.09 Si.upf
ATOMIC_POSITIONS crystal
Pm 0.037 0.482 0.482
Pm 0.482 0.037 0.482
Pm 0.482 0.482 0.037
Nd 0.925 0.925 0.925
Si 0.483 0.983 0.983
Si 0.983 0.483 0.983
Si 0.983 0.983 0.483
CELL_PARAMETERS angstrom
5.072 2.928 2.054
-5.072 2.928 2.054
0.000 -5.857 2.054

(5)
! Na6Hg5Bi (GGA-PBE, optimized geometry); values from VASP
! E_tot, eV per formula unit: -16.46
! DFT formation energy, meV/atom: -263
! Magnetic moment, μB/cell: 0.0
! Fermi-level density of states, states/eV/atom: 0.29
! ρ, g cm⁻³: 7.0
&SYSTEM
  ibrav = 0, nat = 12, ntyp = 3
/
ATOMIC_SPECIES
Na 22.99 Na.upf
Hg 200.59 Hg.upf
Bi 208.98 Bi.upf
ATOMIC_POSITIONS crystal
Na 0.082 0.411 0.747
Na 0.245 0.245 0.245
Na 0.411 0.082 0.747
Na 0.589 0.918 0.253
Na 0.755 0.755 0.755
Na 0.918 0.589 0.253
Hg 0.176 0.824 0.000
Hg 0.334 0.666 0.500
Hg 0.500 0.500 0.000
Hg 0.666 0.334 0.500
Hg 0.824 0.176 0.000
Bi 0.000 0.000 0.500
CELL_PARAMETERS angstrom
4.698 -7.915 0.000
4.698 7.915 0.000
-2.854 0.000 4.336

(6)
! InGe4 (GGA-PBE, optimized geometry); values from VASP
! E_tot, eV per formula unit: -16.22
! DFT formation energy, meV/atom: 998
! Magnetic moment, μB/cell: 0.0
! Fermi-level density of states, states/eV/atom: 0.71
! ρ, g cm⁻³: 4.8
&SYSTEM
  ibrav = 0, nat = 5, ntyp = 2
/
ATOMIC_SPECIES
In 114.82 In.upf
Ge 72.64 Ge.upf
ATOMIC_POSITIONS crystal
In 0.000 0.000 0.000
Ge 0.000 0.000 0.500
Ge 0.000 0.500 0.000
Ge 0.500 0.000 0.000
Ge 0.500 0.500 0.500
CELL_PARAMETERS angstrom
5.209 0.000 0.000
0.000 5.209 0.000
0.000 0.000 5.209

(7)
! MgInSb3 (GGA-PBE, optimized geometry); values from VASP
! E_tot, eV per formula unit: -14.43
! Formation energy (no corrections), eV per formula unit: 2.27
! Excess energy over the best structure of this formula in the dataset, meV per atom: 0
! Magnetic moment, μB/cell: 0.0
! Fermi-level density of states, states/eV/atom: 0.75
! ρ, g cm⁻³: 5.2
&SYSTEM
  ibrav = 0, nat = 5, ntyp = 3
/
ATOMIC_SPECIES
Mg 24.30 Mg.upf
In 114.82 In.upf
Sb 121.76 Sb.upf
ATOMIC_POSITIONS crystal
Mg 0.000 0.000 0.000
In 0.500 0.500 0.500
Sb 0.000 0.000 0.500
Sb 0.000 0.500 0.000
Sb 0.500 0.000 0.000
CELL_PARAMETERS angstrom
5.450 0.000 0.000
0.000 5.450 0.000
0.000 0.000 5.450

(8)
! PuTlSbAu (GGA-PBE, optimized geometry); values from VASP
! E_tot, eV per formula unit: -24.96
! Formation energy (no corrections), eV per formula unit: -0.86
! Magnetic moment, μB/cell: 5.5
! Fermi-level density of states, states/eV/atom: 3.40
! ρ, g cm⁻³: 12.3
&SYSTEM
  ibrav = 0, nat = 4, ntyp = 4
/
ATOMIC_SPECIES
Pu 244.00 Pu.upf
Tl 204.38 Tl.upf
Sb 121.76 Sb.upf
Au 196.97 Au.upf
ATOMIC_POSITIONS crystal
Pu 0.000 0.000 0.000
Tl 0.500 0.500 0.500
Sb 0.750 0.750 0.750
Au 0.250 0.250 0.250
CELL_PARAMETERS angstrom
0.000 3.723 3.723
3.723 0.000 3.723
3.723 3.723 0.000

no.,volume (Å³ per atom)
1,23.03
2,14.25
3,35.18
4,26.15
5,26.87
6,28.26
7,32.37
8,25.80